No. 1
! ThZrNi | the Alexandria database | GGA-PBE | relaxed; values from VASP
! Energy above the most stable polymorph in this dataset: 11.8 meV per atom
! Space-group type: Pmma, No. 51
&SYSTEM
  ibrav = 0, nat = 18, ntyp = 3
/
ATOMIC_SPECIES
Th 232.04 Th.upf
Zr 91.22 Zr.upf
Ni 58.69 Ni.upf
CELL_PARAMETERS angstrom
13.4555 0.0000 0.0000
0.0000 3.6073 0.0000
0.0000 0.0000 8.2047
ATOMIC_POSITIONS angstrom
Th 0.4689 0.0000 1.7893
Th 3.3639 0.0000 6.9143
Th 6.2589 0.0000 1.7893
Th 7.1967 0.0000 6.4155
Th 10.0916 0.0000 1.2904
Th 12.9866 0.0000 6.4155
Zr 1.6305 1.8037 4.5331
Zr 3.3639 1.8037 1.6492
Zr 5.0972 1.8037 4.5331
Zr 8.3583 1.8037 3.6716
Zr 10.0916 1.8037 6.5555
Zr 11.8250 1.8037 3.6716
Ni 1.2945 1.8037 7.8163
Ni 3.3639 0.0000 3.4994
Ni 5.4333 1.8037 7.8163
Ni 8.0223 1.8037 0.3884
Ni 10.0916 0.0000 4.7053
Ni 12.1610 1.8037 0.3884

No. 2
! ThZrNi | the Alexandria database | GGA-PBE | relaxed; values from VASP
! Energy above the most stable polymorph in this dataset: 102.3 meV per atom
! Space-group type: I4mm, No. 107
&SYSTEM
  ibrav = 0, nat = 3, ntyp = 3
/
ATOMIC_SPECIES
Th 232.04 Th.upf
Zr 91.22 Zr.upf
Ni 58.69 Ni.upf
CELL_PARAMETERS angstrom
-1.6820 1.6820 5.8276
1.6820 -1.6820 5.8276
1.6820 1.6820 -5.8276
ATOMIC_POSITIONS angstrom
Th 0.0000 0.0000 0.0000
Zr 0.0000 0.0000 3.3837
Ni 0.0000 0.0000 7.8920

No. 3
! Th2ZrNi | the Alexandria database | GGA-PBE | relaxed; values from VASP
! Energy above the most stable polymorph in this dataset: 0.0 meV per atom
! Space-group type: P4/mmm, No. 123
&SYSTEM
  ibrav = 0, nat = 4, ntyp = 3
/
ATOMIC_SPECIES
Th 232.04 Th.upf
Zr 91.22 Zr.upf
Ni 58.69 Ni.upf
CELL_PARAMETERS angstrom
3.4682 0.0000 0.0000
0.0000 3.4682 0.0000
0.0000 0.0000 8.2625
ATOMIC_POSITIONS angstrom
Th 0.0000 0.0000 1.7349
Th 0.0000 0.0000 6.5275
Zr 1.7341 1.7341 4.1312
Ni 1.7341 1.7341 0.0000

No. 4
! ThZrNi | the Alexandria database | GGA-PBE | relaxed; values from VASP
! Energy above the most stable polymorph in this dataset: 0.0 meV per atom
! Space-group type: Fddd, No. 70
&SYSTEM
  ibrav = 0, nat = 12, ntyp = 3
/
ATOMIC_SPECIES
Th 232.04 Th.upf
Zr 91.22 Zr.upf
Ni 58.69 Ni.upf
CELL_PARAMETERS angstrom
0.0000 4.8546 9.4110
2.8200 0.0000 9.4110
2.8200 4.8546 0.0000
ATOMIC_POSITIONS angstrom
Th 2.1150 0.4135 7.0582
Th 3.5249 2.8408 11.7637
Th 2.1150 6.8683 7.0582
Th 3.5249 9.2956 11.7637
Zr 2.1150 3.6409 5.5034
Zr 2.1150 3.6409 8.6131
Zr 3.5249 6.0682 10.2089
Zr 3.5249 6.0682 13.3186
Ni 0.7050 1.2136 0.0145
Ni 0.7050 1.2136 4.6910
Ni 4.9349 8.4955 14.1310
Ni 4.9349 8.4955 18.8074

No. 5
! Th2ZrNi6 | the Alexandria database | GGA-PBE | relaxed; values from VASP
! Uncorrected energy: -6.66 eV per atom
! Space-group type: Immm, No. 71
&SYSTEM
  ibrav = 0, nat = 9, ntyp = 3
/
ATOMIC_SPECIES
Th 232.04 Th.upf
Zr 91.22 Zr.upf
Ni 58.69 Ni.upf
CELL_PARAMETERS angstrom
-1.7213 3.4230 6.6298
1.7213 -3.4230 6.6298
1.7213 3.4230 -6.6298
ATOMIC_POSITIONS angstrom
Th 0.0000 0.0000 1.9083
Th 0.0000 0.0000 11.3513
Zr 0.0000 3.4230 0.0000
Ni 1.7213 2.2058 -2.2342
Ni 1.7213 1.3188 0.0000
Ni 1.7213 2.2058 2.2342
Ni 0.0000 1.2171 4.3955
Ni 0.0000 2.1041 6.6298
Ni 0.0000 1.2171 8.8640

No. 6
! ThZrNi10 | the Alexandria database | GGA-PBE | relaxed; values from VASP
! Uncorrected energy: -6.49 eV per atom
! Space-group type: Pmmm, No. 47
&SYSTEM
  ibrav = 0, nat = 12, ntyp = 3
/
ATOMIC_SPECIES
Th 232.04 Th.upf
Zr 91.22 Zr.upf
Ni 58.69 Ni.upf
CELL_PARAMETERS angstrom
3.9813 0.0000 0.0000
0.0000 4.8394 0.0000
0.0000 0.0000 8.4066
ATOMIC_POSITIONS angstrom
Th 0.0000 0.0000 0.0000
Zr 0.0000 2.4197 4.2033
Ni 0.0000 0.0000 2.8623
Ni 0.0000 0.0000 5.5444
Ni 0.0000 2.4197 1.4831
Ni 0.0000 2.4197 6.9235
Ni 1.9906 0.0000 4.2033
Ni 1.9906 1.2287 2.1667
Ni 1.9906 1.2287 6.2399
Ni 1.9906 2.4197 0.0000
Ni 1.9906 3.6108 2.1667
Ni 1.9906 3.6108 6.2399

No. 7
! Th2ZrNi2 | the Alexandria database | GGA-PBE | relaxed; values from VASP
! Uncorrected energy: -7.31 eV per atom
! Space-group type: C2/c, No. 15
&SYSTEM
  ibrav = 0, nat = 10, ntyp = 3
/
ATOMIC_SPECIES
Th 232.04 Th.upf
Zr 91.22 Zr.upf
Ni 58.69 Ni.upf
CELL_PARAMETERS angstrom
5.5542 -2.9807 0.0000
5.5542 2.9807 0.0000
-1.1534 0.0000 6.7005
ATOMIC_POSITIONS angstrom
Th 1.4770 0.6149 0.9891
Th 0.9003 -0.6149 4.3393
Th 9.0546 0.6149 2.3611
Th 8.4779 -0.6149 5.7114
Zr 5.2658 0.5943 1.6751
Zr 4.6891 -0.5943 5.0254
Ni 3.2696 0.8408 3.3349
Ni 2.6929 -0.8408 6.6852
Ni 7.2621 0.8408 0.0153
Ni 6.6854 -0.8408 3.3656

No. 8
! Ti7Ni3 | the Alexandria database | GGA-PBE | relaxed; values from VASP
! Uncorrected energy: -7.46 eV per atom
! Space-group type: P6_3mc, No. 186
&SYSTEM
  ibrav = 0, nat = 20, ntyp = 2
/
ATOMIC_SPECIES
Ti 47.87 Ti.upf
Ni 58.69 Ni.upf
CELL_PARAMETERS angstrom
8.2953 0.0000 0.0000
-4.1476 7.1839 0.0000
0.0000 0.0000 5.2694
ATOMIC_POSITIONS angstrom
Ti -1.5781 3.8782 0.0000
Ti 0.0000 1.9338 3.7674
Ti -2.4729 6.2170 3.7674
Ti 1.6747 0.9669 1.1327
Ti 0.0000 4.7893 2.9675
Ti 1.5781 3.8782 0.0000
Ti 0.0000 6.6115 0.0000
Ti 4.1476 0.5725 2.6347
Ti 2.5696 3.3057 2.6347
Ti 4.1476 2.3946 0.3328
Ti 2.4729 6.2170 3.7674
Ti 6.6206 0.9669 1.1327
Ti 4.1476 5.2501 1.1327
Ti 5.7257 3.3057 2.6347
Ni 0.0000 2.7415 1.4405
Ni -1.7734 5.8132 1.4405
Ni 2.3742 1.3708 4.0752
Ni 1.7734 5.8132 1.4405
Ni 5.9210 1.3708 4.0752
Ni 4.1476 4.4424 4.0752

No. 9
! Ti2Ni17 | the Alexandria database | GGA-PBE | relaxed; values from VASP
! Uncorrected energy: -6.05 eV per atom
! Space-group type: R-3m, No. 166
&SYSTEM
  ibrav = 0, nat = 19, ntyp = 2
/
ATOMIC_SPECIES
Ti 47.87 Ti.upf
Ni 58.69 Ni.upf
CELL_PARAMETERS angstrom
4.0222 2.3222 4.0038
-4.0222 2.3222 4.0038
0.0000 -4.6444 4.0038
ATOMIC_POSITIONS angstrom
Ti 0.0000 0.0000 2.1431
Ti 0.0000 0.0000 9.8683
Ni -2.0111 -1.1611 4.0038
Ni 0.0000 -2.3634 3.8631
Ni -2.0467 1.1817 3.8631
Ni -1.2497 -2.1646 6.0057
Ni -2.4994 0.0000 6.0057
Ni -2.0467 -1.1817 8.1483
Ni 0.0000 0.0000 4.7921
Ni -2.0111 1.1611 8.0076
Ni 1.2497 -2.1646 6.0057
Ni 0.0000 2.3222 4.0038
Ni -1.2497 2.1646 6.0057
Ni 0.0000 0.0000 7.2193
Ni 2.0467 1.1817 3.8631
Ni 2.4994 0.0000 6.0057
Ni 1.2497 2.1646 6.0057
Ni 2.0467 -1.1817 8.1483
Ni 0.0000 2.3634 8.1483

No. 10
! Ti3Ni8 | the Alexandria database | GGA-PBE | relaxed; values from VASP
! Uncorrected energy: -6.22 eV per atom
! Space-group type: R-3, No. 148
&SYSTEM
  ibrav = 0, nat = 11, ntyp = 2
/
ATOMIC_SPECIES
Ti 47.87 Ti.upf
Ni 58.69 Ni.upf
CELL_PARAMETERS angstrom
4.0532 2.3401 2.6758
-4.0532 2.3401 2.6758
0.0000 -4.6802 2.6758
ATOMIC_POSITIONS angstrom
Ti -2.0266 -1.1700 2.6758
Ti -2.0266 1.1700 5.3517
Ti 0.0000 2.3401 2.6758
Ni -2.6320 -2.6669 4.4199
Ni -3.6256 0.9460 3.6076
Ni 0.9936 -3.6128 3.6076
Ni 0.0000 0.0000 2.8824
Ni 0.0000 0.0000 5.1451
Ni -0.9936 3.6128 4.4199
Ni 3.6256 -0.9460 4.4199
Ni 2.6320 2.6669 3.6076

No. 11
! Ti3Ni | the Alexandria database | GGA-PBE | relaxed; values from VASP
! Uncorrected energy: -7.45 eV per atom
! Space-group type: Pm-3m, No. 221
&SYSTEM
  ibrav = 0, nat = 4, ntyp = 2
/
ATOMIC_SPECIES
Ti 47.87 Ti.upf
Ni 58.69 Ni.upf
CELL_PARAMETERS angstrom
3.9378 0.0000 0.0000
0.0000 3.9378 0.0000
0.0000 0.0000 3.9378
ATOMIC_POSITIONS angstrom
Ti 0.0000 0.0000 1.9689
Ti 0.0000 1.9689 0.0000
Ti 1.9689 0.0000 0.0000
Ni 1.9689 1.9689 1.9689

No. 12
! Ti2Ni3 | the Alexandria database | GGA-PBE | relaxed; values from VASP
! Uncorrected energy: -6.89 eV per atom
! Space-group type: Ibam, No. 72
&SYSTEM
  ibrav = 0, nat = 10, ntyp = 2
/
ATOMIC_SPECIES
Ti 47.87 Ti.upf
Ni 58.69 Ni.upf
CELL_PARAMETERS angstrom
-2.6861 5.3387 2.3502
2.6861 -5.3387 2.3502
2.6861 5.3387 -2.3502
ATOMIC_POSITIONS angstrom
Ti 1.0646 1.8495 0.0000
Ti 1.0646 -1.8495 2.3502
Ti 1.6215 7.1883 0.0000
Ti 1.6215 3.4892 2.3502
Ni 3.4640 1.0525 0.0000
Ni 0.0000 0.0000 1.1751
Ni 0.7779 4.2863 0.0000
Ni 1.9082 1.0525 2.3502
Ni 0.0000 0.0000 3.5253
Ni -0.7779 4.2863 2.3502

Computed density (g/cm3) in order:
9.6 9.6 10.3 9.8 9.6 9.3 10.1 5.4 8.1 6.7 5.5 6.7
Computed magnetic moment (μB per cell) in order:
0.00 0.00 0.00 0.00 0.00 1.93 0.00 0.00 5.57 0.00 0.00 0.00